[1]
Compound: AgRu2Rh
Source: Alexandria via LeMat-Bulk
Functional: PBE
Structure: relaxed

uncorrected energy	-6.817	eV/atom

POSCAR file:
```
AgRu2Rh
1.0
-0.1438 1.9681 1.8571
-2.2324 0.9647 -1.1952
-4.5869 -4.7793 4.7097
Ru Rh Ag
2 1 1
Direct
0.0000 0.0000 0.5172 Ru
0.0000 0.0000 0.9828 Ru
0.5000 0.5000 0.7500 Rh
0.5000 0.5000 0.2500 Ag
```


[2]
Compound: AgRuRh3
Source: Alexandria via LeMat-Bulk
Functional: PBE
Structure: relaxed

uncorrected energy	-5.574	eV/atom

POSCAR file:
```
AgRuRh3
1.0
-3.1079 -3.0553 1.6558
3.2318 -3.3577 -0.1296
1.2774 1.0614 4.3563
Ru Rh Ag
1 3 1
Direct
0.0000 0.0000 0.0000 Ru
0.5000 0.0000 0.0000 Rh
0.0000 0.0000 0.5000 Rh
0.0000 0.5000 0.0000 Rh
0.5000 0.5000 0.5000 Ag
```


[3]
Compound: AgRuRh
Source: Alexandria via LeMat-Bulk
Functional: PBE
Structure: relaxed

uncorrected energy	-6.022	eV/atom

POSCAR file:
```
AgRuRh
1.0
4.4726 0.0000 0.0000
-2.2363 3.8734 0.0000
0.0000 0.0000 2.6773
Ru Rh Ag
1 1 1
Direct
0.3333 0.6667 0.4998 Ru
0.6667 0.3333 0.5002 Rh
0.0000 0.0000 0.0000 Ag
```


[4]
Compound: AgRu2Rh
Source: Alexandria via LeMat-Bulk
Functional: PBE
Structure: relaxed

uncorrected energy	-6.711	eV/atom

POSCAR file:
```
AgRu2Rh
1.0
-3.8134 2.0989 3.3666
-2.1255 -2.9924 4.0999
4.2639 2.4563 -2.4632
Ru Ag Rh
2 1 1
Direct
0.9925 0.9925 0.0000 Ru
0.7737 0.2737 0.5000 Ru
0.5039 0.5039 0.0000 Ag
0.2299 0.7299 0.5000 Rh
```


[5]
Compound: Tb4AgRuRh2
Source: Alexandria via LeMat-Bulk
Functional: PBE
Structure: relaxed

uncorrected energy	-6.258	eV/atom

POSCAR file:
```
Tb4AgRuRh2
1.0
4.9218 0.0000 0.0000
2.4609 4.2624 0.0000
2.4609 1.4208 8.0417
Tb Ag Ru Rh
4 1 1 2
Direct
0.8715 0.8715 0.3854 Tb
0.3796 0.3796 0.8612 Tb
0.6204 0.6204 0.1388 Tb
0.1285 0.1285 0.6146 Tb
0.0000 0.0000 0.0000 Ag
0.5000 0.5000 0.5000 Ru
0.7494 0.7494 0.7517 Rh
0.2506 0.2506 0.2483 Rh
```


[6]
Compound: YAg2RuRh
Source: Alexandria via LeMat-Bulk
Functional: PBE
Structure: relaxed

uncorrected energy	-5.109	eV/atom

POSCAR file:
```
YAg2RuRh
1.0
-2.3090 2.5677 -3.5946
-0.8556 -3.9409 -2.2655
-4.3202 -0.4661 2.4422
Ag Ru Rh Y
2 1 1 1
Direct
0.0000 0.0000 0.5000 Ag
0.5000 0.0000 0.0000 Ag
0.0000 0.5000 0.0000 Ru
0.0000 0.0000 0.0000 Rh
0.5000 0.5000 0.5000 Y
```


[7]
Compound: ZrAg2RuRh
Source: Alexandria via LeMat-Bulk
Functional: PBE
Structure: relaxed

uncorrected energy	-5.032	eV/atom

POSCAR file:
```
ZrAg2RuRh
1.0
4.9700 0.0000 0.0000
0.0000 4.7231 0.0000
0.0000 0.0000 4.9700
Ag Rh Zr Ru
2 1 1 1
Direct
0.0000 0.0000 0.5000 Ag
0.5000 0.0000 0.0000 Ag
0.0000 0.0000 0.0000 Rh
0.0000 0.5000 0.0000 Zr
0.5000 0.5000 0.5000 Ru
```


[8]
Compound: AgRhS2
Source: Alexandria via LeMat-Bulk
Functional: PBE
Structure: relaxed

uncorrected formation energy	-0.08	eV per atom

POSCAR file:
```
AgRhS2
1.0
6.6698 0.0000 0.0000
0.0000 8.0903 0.0000
0.0000 0.0000 5.8177
S Rh Ag
8 4 4
Direct
0.8697 0.6184 0.1162 S
0.1303 0.3816 0.6162 S
0.3697 0.8816 0.1162 S
0.1085 0.8069 0.6045 S
0.3915 0.3069 0.1045 S
0.6303 0.1184 0.6162 S
0.8915 0.1931 0.1045 S
0.6085 0.6931 0.6045 S
0.9113 0.5903 0.5029 Rh
0.4113 0.9097 0.5029 Rh
0.5887 0.0903 0.0029 Rh
0.0887 0.4097 0.0029 Rh
0.0193 0.0932 0.5262 Ag
0.4807 0.5932 0.0262 Ag
0.5193 0.4068 0.5262 Ag
0.9807 0.9068 0.0262 Ag
```